Here is crystalline PmYLuTh at its relaxed geometry from the Alexandria database. Energies are from PBE-GGA.

Cell: 5.6788 5.6788 5.6788 Å, 60.00 60.00 60.00°
Last column: nearest neighbours and their distance in Å.
Positions (direct):
Lu  0.0000  0.0000  0.0000  4 Th 3.48, 4 Y 3.48
Pm  0.5000  0.5000  0.5000  4 Th 3.48, 4 Y 3.48
Y  0.7500  0.7500  0.7500  4 Lu 3.48, 4 Pm 3.48
Th  0.2500  0.2500  0.2500  4 Pm 3.48, 4 Lu 3.48

Computed properties:
**DOS(E_F)**: 7.899 states/eV per cell
**VASP energy**: -22.5 eV/f.u.